{"formula": "ZrTc3Se", "functional": "meta-GGA SCAN", "state": "single point on PBEsol structure", "raw_formation_energy_mev_per_atom": 2134, "total_energy_ev_per_cell": -145.3, "lattice_angstrom": [[4.695, 0.000, 0.000], [0.000, 4.695, 0.000], [0.000, 0.000, 4.695]], "species": ["Zr", "Tc", "Tc", "Tc", "Se"], "frac_coords": [[0.000, 0.000, 0.000], [0.000, 0.000, 0.500], [0.000, 0.500, 0.000], [0.500, 0.000, 0.000], [0.500, 0.500, 0.500]]}

=====

{"formula": "ZrTc2Se", "functional": "meta-GGA SCAN", "state": "single point on PBEsol structure", "raw_formation_energy_mev_per_atom": -1, "total_energy_ev_per_cell": -120.9, "lattice_angstrom": [[-1.875, 1.875, 4.431], [1.875, -1.875, 4.431], [1.875, 1.875, -4.431]], "species": ["Zr", "Tc", "Tc", "Se"], "frac_coords": [[0.000, 0.000, 0.000], [0.250, 0.750, 0.500], [0.500, 0.500, 0.000], [0.750, 0.250, 0.500]]}

=====

{"formula": "TeSe3", "functional": "meta-GGA SCAN", "state": "single point on PBEsol structure", "raw_formation_energy_mev_per_atom": 529, "e_above_lowest_polymorph_mev_per_atom": 331.8, "total_energy_ev_per_cell": -95.4, "lattice_angstrom": [[0.000, 3.479, 3.479], [3.479, 0.000, 3.479], [3.479, 3.479, 0.000]], "species": ["Te", "Se", "Se", "Se"], "frac_coords": [[0.000, 0.000, 0.000], [0.250, 0.250, 0.250], [0.500, 0.500, 0.500], [0.750, 0.750, 0.750]]}

=====

{"formula": "TeSe3", "functional": "meta-GGA SCAN", "state": "single point on PBEsol structure", "raw_formation_energy_mev_per_atom": 563, "e_above_lowest_polymorph_mev_per_atom": 365.8, "total_energy_ev_per_cell": -190.5, "lattice_angstrom": [[5.531, 0.000, 0.000], [0.000, 5.531, 0.000], [0.000, 0.000, 5.531]], "species": ["Te", "Te", "Se", "Se", "Se", "Se", "Se", "Se"], "frac_coords": [[0.000, 0.000, 0.000], [0.500, 0.500, 0.500], [0.000, 0.250, 0.500], [0.000, 0.750, 0.500], [0.250, 0.500, 0.000], [0.500, 0.000, 0.250], [0.500, 0.000, 0.750], [0.750, 0.500, 0.000]]}

=====

{"formula": "TeSe3", "functional": "meta-GGA SCAN", "state": "single point on PBEsol structure", "raw_formation_energy_mev_per_atom": 197, "e_above_lowest_polymorph_mev_per_atom": 0.0, "total_energy_ev_per_cell": -96.7, "lattice_angstrom": [[1.913, -3.703, 0.000], [1.913, 3.703, 0.000], [0.000, 0.000, 7.605]], "species": ["Te", "Se", "Se", "Se"], "frac_coords": [[0.000, 0.000, 0.000], [0.000, 0.000, 0.500], [0.500, 0.500, 0.262], [0.500, 0.500, 0.738]]}

=====

{"formula": "TeSe3", "functional": "meta-GGA SCAN", "state": "single point on PBEsol structure", "raw_formation_energy_mev_per_atom": 406, "e_above_lowest_polymorph_mev_per_atom": 208.7, "total_energy_ev_per_cell": -95.9, "lattice_angstrom": [[-2.136, 2.355, 4.660], [2.136, -2.355, 4.660], [2.136, 2.355, -4.660]], "species": ["Te", "Se", "Se", "Se"], "frac_coords": [[0.000, 0.000, 0.000], [0.317, 0.817, 0.500], [0.500, 0.500, 0.000], [0.683, 0.183, 0.500]]}

=====

{"formula": "Ti3Te2Se2", "functional": "meta-GGA SCAN", "state": "single point on PBEsol structure", "raw_formation_energy_mev_per_atom": -1049, "total_energy_ev_per_cell": -170.1, "lattice_angstrom": [[6.797, -1.815, 0.000], [6.797, 1.815, 0.000], [-3.126, 0.000, 5.947]], "species": ["Ti", "Ti", "Ti", "Te", "Te", "Se", "Se"], "frac_coords": [[0.000, 0.000, 0.000], [0.253, 0.253, 0.189], [0.747, 0.747, 0.811], [0.366, 0.366, 0.678], [0.634, 0.634, 0.322], [0.111, 0.111, 0.780], [0.889, 0.889, 0.220]]}

=====

{"formula": "TiTe2Se", "functional": "meta-GGA SCAN", "state": "single point on PBEsol structure", "raw_formation_energy_mev_per_atom": 95, "total_energy_ev_per_cell": -220.5, "lattice_angstrom": [[-3.281, 3.281, 6.025], [3.281, -3.281, 6.025], [3.281, 3.281, -6.025]], "species": ["Ti", "Ti", "Te", "Te", "Te", "Te", "Se", "Se"], "frac_coords": [[0.000, 0.000, 0.000], [0.750, 0.250, 0.500], [0.083, 0.625, 0.958], [0.375, 0.333, 0.458], [0.667, 0.125, 0.042], [0.875, 0.917, 0.542], [0.250, 0.750, 0.500], [0.500, 0.500, 0.000]]}

=====

{"formula": "TiTe2Se", "functional": "meta-GGA SCAN", "state": "single point on PBEsol structure", "raw_formation_energy_mev_per_atom": 540, "total_energy_ev_per_cell": -108.4, "lattice_angstrom": [[1.734, 1.001, 9.549], [-1.734, 1.001, 9.549], [0.000, -2.003, 9.549]], "species": ["Ti", "Te", "Te", "Se"], "frac_coords": [[0.000, 0.000, 0.000], [0.092, 0.092, 0.092], [0.908, 0.908, 0.908], [0.500, 0.500, 0.500]]}

=====

{"formula": "TlTeSe2", "functional": "meta-GGA SCAN", "state": "single point on PBEsol structure", "raw_formation_energy_mev_per_atom": -150, "e_above_lowest_polymorph_mev_per_atom": 1.1, "total_energy_ev_per_cell": -150.4, "lattice_angstrom": [[7.085, -2.049, 0.000], [7.085, 2.049, 0.000], [-1.164, 0.000, 3.927]], "species": ["Tl", "Te", "Se", "Se"], "frac_coords": [[0.000, 0.000, 0.000], [0.237, 0.237, 0.242], [0.426, 0.426, 0.429], [0.718, 0.718, 0.723]]}

=====

{"formula": "TlTeSe", "functional": "meta-GGA SCAN", "state": "single point on PBEsol structure", "raw_formation_energy_mev_per_atom": 259, "e_above_lowest_polymorph_mev_per_atom": 180.2, "total_energy_ev_per_cell": -128.9, "lattice_angstrom": [[0.000, 3.574, 3.574], [3.574, 0.000, 3.574], [3.574, 3.574, 0.000]], "species": ["Tl", "Te", "Se"], "frac_coords": [[0.000, 0.000, 0.000], [0.500, 0.500, 0.500], [0.250, 0.250, 0.250]]}

=====

{"formula": "TlTeSe", "functional": "meta-GGA SCAN", "state": "single point on PBEsol structure", "raw_formation_energy_mev_per_atom": 79, "e_above_lowest_polymorph_mev_per_atom": 0.0, "total_energy_ev_per_cell": -129.5, "lattice_angstrom": [[-1.524, 1.524, 9.056], [1.524, -1.524, 9.056], [1.524, 1.524, -9.056]], "species": ["Tl", "Te", "Se"], "frac_coords": [[0.000, 0.000, 0.000], [0.326, 0.326, 0.000], [0.633, 0.633, 0.000]]}